Entry 1:
An optimized crystal structure of Hf3ZrPd12. Source: the Alexandria database, functional PBE.

The calculation puts the magnetic moment at 0.000 μB/atom. The density of states at the Fermi level comes out at 3.3 states/eV/cell. The volume comes out at 259 Å³/cell. Its crystal system is tetragonal. The calculation puts the total energy at -114.15 eV/f.u. The formation energy comes out at -0.839 eV/atom.

The structure belongs to space group P4/mmm (No. 123); the cell edges are 4.017, 4.017 and 16.070 Å and the angles 90.00°, 90.00° and 90.00°. The distinct sites, in fractional coordinates, are Hf at (0.000, 0.000, 0.000), Hf at (0.000, 0.000, 0.249), Zr at (0.000, 0.000, 0.500), Pd at (0.000, 0.500, 0.125), Pd at (0.000, 0.500, 0.374), Pd at (0.500, 0.500, 0.000), Pd at (0.500, 0.500, 0.249) and Pd at (0.500, 0.500, 0.500).

---

Entry 2:
An optimized crystal structure of Hf2ZrPd3. Source: the Alexandria database, functional PBE.

The calculation puts the magnetic moment at 0.000 μB/atom. The density of states at the Fermi level comes out at 9.6 states/eV/cell. The volume comes out at 223 Å³/cell. Its crystal system is orthorhombic. The calculation puts the total energy at -47.76 eV/f.u. The formation energy comes out at -0.621 eV/atom.

The structure belongs to space group Pmmn (No. 59, origin choice 2); the cell edges are 4.611, 14.157 and 3.411 Å and the angles 90.00°, 90.00° and 90.00°. The distinct sites, in fractional coordinates, are Hf at (0.250, 0.087, 0.000), Zr at (0.250, 0.750, 0.001), Pd at (0.250, 0.250, 0.499) and Pd at (0.250, 0.572, 0.500).